Arrangement a

# Sr2AcPr | Alexandria via LeMat-Bulk | PBE | relaxed
# Calculated density (g cm⁻³): 4.969
# Total magnetization (μB per atom): 0.08
data_Sr2AcPr
_symmetry_space_group_name_H-M 'P 1'
_symmetry_Int_Tables_number 1
_symmetry_space_group_name_Hall 'P 1'
_cell_length_a 3.978
_cell_length_b 3.978
_cell_length_c 13.442
_cell_angle_alpha 81.49
_cell_angle_beta 81.49
_cell_angle_gamma 60.00
loop_
_atom_site_label
_atom_site_type_symbol
_atom_site_fract_x
_atom_site_fract_y
_atom_site_fract_z
Sr1 Sr 0.086 0.086 0.742
Sr2 Sr 0.247 0.247 0.258
Ac1 Ac 0.666 0.666 0.001
Pr1 Pr 0.500 0.500 0.499

Arrangement b

# Sr2AcPr | Alexandria via LeMat-Bulk | PBE | relaxed
# Calculated density (g cm⁻³): 4.976
# Total magnetization (μB per atom): 0.00
data_Sr2AcPr
_symmetry_space_group_name_H-M 'P 1'
_symmetry_Int_Tables_number 1
_symmetry_space_group_name_Hall 'P 1'
_cell_length_a 6.028
_cell_length_b 5.483
_cell_length_c 5.483
_cell_angle_alpha 90.00
_cell_angle_beta 90.00
_cell_angle_gamma 90.00
loop_
_atom_site_label
_atom_site_type_symbol
_atom_site_fract_x
_atom_site_fract_y
_atom_site_fract_z
Pr1 Pr 0.500 0.000 0.000
Sr1 Sr 0.000 0.000 0.500
Sr2 Sr 0.000 0.500 0.000
Ac1 Ac 0.500 0.500 0.500

Arrangement c

# Sr2AcPr | Alexandria via LeMat-Bulk | PBE | relaxed
# Calculated density (g cm⁻³): 4.874
# Total magnetization (μB per atom): 0.18
data_Sr2AcPr
_symmetry_space_group_name_H-M 'P 1'
_symmetry_Int_Tables_number 1
_symmetry_space_group_name_Hall 'P 1'
_cell_length_a 3.885
_cell_length_b 3.885
_cell_length_c 14.333
_cell_angle_alpha 82.21
_cell_angle_beta 82.21
_cell_angle_gamma 60.00
loop_
_atom_site_label
_atom_site_type_symbol
_atom_site_fract_x
_atom_site_fract_y
_atom_site_fract_z
Pr1 Pr 0.000 0.000 0.000
Sr1 Sr 0.087 0.087 0.740
Sr2 Sr 0.913 0.913 0.260
Ac1 Ac 0.500 0.500 0.500

Arrangement d

# Sr2AcPr | Alexandria via LeMat-Bulk | PBE | relaxed
# Calculated density (g cm⁻³): 4.933
# Total magnetization (μB per atom): 0.00
data_Sr2AcPr
_symmetry_space_group_name_H-M 'P 1'
_symmetry_Int_Tables_number 1
_symmetry_space_group_name_Hall 'P 1'
_cell_length_a 4.485
_cell_length_b 4.485
_cell_length_c 9.088
_cell_angle_alpha 90.00
_cell_angle_beta 90.00
_cell_angle_gamma 90.00
loop_
_atom_site_label
_atom_site_type_symbol
_atom_site_fract_x
_atom_site_fract_y
_atom_site_fract_z
Pr1 Pr 0.500 0.500 0.500
Sr1 Sr 0.000 0.000 0.737
Sr2 Sr 0.000 0.000 0.263
Ac1 Ac 0.500 0.500 0.000

Tell me which of them is the most stable. Sure, it is arrangement a.

Arrangement a

# Sr2AcPr | Alexandria via LeMat-Bulk | PBE | relaxed
# Calculated density (g cm⁻³): 4.919
# Total magnetization (μB per atom): 0.00
data_Sr2AcPr
_symmetry_space_group_name_H-M 'P 1'
_symmetry_Int_Tables_number 1
_symmetry_space_group_name_Hall 'P 1'
_cell_length_a 6.377
_cell_length_b 6.377
_cell_length_c 6.377
_cell_angle_alpha 60.00
_cell_angle_beta 60.00
_cell_angle_gamma 60.00
loop_
_atom_site_label
_atom_site_type_symbol
_atom_site_fract_x
_atom_site_fract_y
_atom_site_fract_z
Pr1 Pr 0.500 0.500 0.500
Sr1 Sr 0.250 0.250 0.250
Sr2 Sr 0.750 0.750 0.750
Ac1 Ac 0.000 0.000 0.000

Arrangement b

# Sr2AcPr | Alexandria via LeMat-Bulk | PBE | relaxed
# Calculated density (g cm⁻³): 4.837
# Total magnetization (μB per atom): 0.00
data_Sr2AcPr
_symmetry_space_group_name_H-M 'P 1'
_symmetry_Int_Tables_number 1
_symmetry_space_group_name_Hall 'P 1'
_cell_length_a 4.038
_cell_length_b 4.038
_cell_length_c 13.406
_cell_angle_alpha 81.34
_cell_angle_beta 81.34
_cell_angle_gamma 60.00
loop_
_atom_site_label
_atom_site_type_symbol
_atom_site_fract_x
_atom_site_fract_y
_atom_site_fract_z
Sr1 Sr 0.838 0.838 0.486
Sr2 Sr 0.415 0.415 0.756
Ac1 Ac 0.259 0.259 0.223
Pr1 Pr 0.999 0.999 0.002

Tell me which of them is the most stable. Sure, it is arrangement b.

Arrangement a

# SrAcPr | Alexandria via LeMat-Bulk | PBE | relaxed
# Calculated density (g cm⁻³): 5.670
# Total magnetization (μB per atom): 0.00
data_SrAcPr
_symmetry_space_group_name_H-M 'P 1'
_symmetry_Int_Tables_number 1
_symmetry_space_group_name_Hall 'P 1'
_cell_length_a 3.998
_cell_length_b 5.331
_cell_length_c 12.520
_cell_angle_alpha 90.00
_cell_angle_beta 90.01
_cell_angle_gamma 90.00
loop_
_atom_site_label
_atom_site_type_symbol
_atom_site_fract_x
_atom_site_fract_y
_atom_site_fract_z
Sr1 Sr 0.873 0.291 0.161
Sr2 Sr 0.371 0.791 0.352
Ac1 Ac 0.871 0.291 0.533
Ac2 Ac 0.374 0.791 0.979
Pr1 Pr 0.873 0.291 0.828
Pr2 Pr 0.372 0.791 0.685

Arrangement b

# SrAcPr | Alexandria via LeMat-Bulk | PBE | relaxed
# Calculated density (g cm⁻³): 5.824
# Total magnetization (μB per atom): 0.00
data_SrAcPr
_symmetry_space_group_name_H-M 'P 1'
_symmetry_Int_Tables_number 1
_symmetry_space_group_name_Hall 'P 1'
_cell_length_a 6.218
_cell_length_b 6.219
_cell_length_c 7.756
_cell_angle_alpha 90.00
_cell_angle_beta 90.00
_cell_angle_gamma 60.00
loop_
_atom_site_label
_atom_site_type_symbol
_atom_site_fract_x
_atom_site_fract_y
_atom_site_fract_z
Sr1 Sr 0.629 0.978 0.790
Sr2 Sr 0.962 0.311 0.792
Ac1 Ac 0.295 0.645 0.522
Ac2 Ac 0.295 0.645 0.059
Pr1 Pr 0.629 0.979 0.290
Pr2 Pr 0.962 0.312 0.291

Arrangement c

# SrAcPr | Alexandria via LeMat-Bulk | PBE | relaxed
# Calculated density (g cm⁻³): 5.701
# Total magnetization (μB per atom): 0.00
data_SrAcPr
_symmetry_space_group_name_H-M 'P 1'
_symmetry_Int_Tables_number 1
_symmetry_space_group_name_Hall 'P 1'
_cell_length_a 3.968
_cell_length_b 3.968
_cell_length_c 8.884
_cell_angle_alpha 102.90
_cell_angle_beta 102.90
_cell_angle_gamma 90.00
loop_
_atom_site_label
_atom_site_type_symbol
_atom_site_fract_x
_atom_site_fract_y
_atom_site_fract_z
Pr1 Pr 0.325 0.325 0.650
Sr1 Sr 0.996 0.996 0.992
Ac1 Ac 0.679 0.679 0.358

Tell me which of them is the most stable. Sure, it is arrangement c.